Record 1
A plane-wave DFT calculation with PBE-GGA was carried out for a relaxed ZrSi2Tc crystal.

The calculation puts the energy relative to the lowest polymorph listed for this composition at 254 meV/atom. Its calculated total energy is -7.713 eV per atom. Its uncorrected formation energy is -0.273 eV/atom.

The structure belongs to space group C2/m (No. 12); the cell edges are 5.6618, 6.9187 and 3.2478 Å and the angles 90.00°, 98.02° and 90.00°. Symmetry generates all atoms from Zr at (0.0000, 0.0000, 0.0000), Si at (0.2500, 0.2500, 0.5000) and Tc at (0.0000, 0.5000, 0.0000).

=====

Record 2
A plane-wave DFT calculation with PBE-GGA was carried out for a relaxed Pr3In3Au8 crystal.

Its calculated total energy is -4.037 eV per atom. The formation energy is -0.553 eV per atom.

The structure belongs to space group Immm (No. 71); the cell edges are 4.5948, 10.1542 and 13.8434 Å and the angles 90.00°, 90.00° and 90.00°. Symmetry generates all atoms from Pr at (0.0000, 0.0000, 0.0000), Pr at (0.0000, 0.0000, 0.2915), In at (0.0000, 0.2035, 0.5000), In at (0.0000, 0.5000, 0.0000), Au at (0.0000, 0.2908, 0.1382) and Au at (0.0000, 0.3661, 0.3396).

=====

Record 3
A plane-wave DFT calculation with PBE-GGA was carried out for a relaxed CsCuHgBr4 crystal.

Its calculated total energy is -2.480 eV per atom. Its uncorrected formation energy is -0.774 eV/atom.

The structure belongs to space group P2_1/m (No. 11); the cell edges are 7.0116, 7.8579 and 9.7248 Å and the angles 90.00°, 106.60° and 90.00°. Symmetry generates all atoms from Cs at (0.2421, 0.2500, 0.4084), Cu at (0.3334, 0.7500, 0.2131), Hg at (0.1991, 0.2500, 0.8556), Br at (0.0435, 0.7500, 0.9875), Br at (0.1551, 0.7500, 0.3953) and Br at (0.4324, 0.0134, 0.7802).

=====

Record 4
A plane-wave DFT calculation with PBE-GGA was carried out for a relaxed MgGe6Pd12 crystal.

Its calculated total energy is -5.219 eV per atom. The formation energy is -0.397 eV per atom.

The structure belongs to space group R-3m (No. 166, hexagonal axes); the cell edges are 11.6826, 11.6826 and 8.2289 Å and the angles 90.00°, 90.00° and 120.00°. Symmetry generates all atoms from Mg at (0.0000, 0.0000, 0.0000), Ge at (0.0457, 0.5229, 0.2590), Pd at (0.0000, 0.3762, 0.5000) and Pd at (0.0831, 0.1661, 0.3240).

=====

Record 5
A plane-wave DFT calculation with PBE-GGA was carried out for a relaxed Re3PbN crystal.

The calculation puts the energy relative to the lowest polymorph listed for this composition at 3792 meV/atom. Its calculated total energy is -5.235 eV per atom. Its uncorrected formation energy is 4.640 eV/atom.

The structure belongs to space group Pm-3m (No. 221); the cell edges are 4.9639, 4.9639 and 4.9639 Å and the angles 90.00°, 90.00° and 90.00°. Symmetry generates all atoms from Re at (0.0000, 0.0000, 0.5000), Pb at (0.0000, 0.0000, 0.0000) and N at (0.5000, 0.5000, 0.5000).

=====

Record 6
A plane-wave DFT calculation with PBE-GGA was carried out for a relaxed Pr4AgGe crystal.

Its calculated total energy is -4.577 eV per atom. The formation energy is -0.146 eV per atom.

The structure belongs to space group Cmc2_1 (No. 36); the cell edges are 5.5398, 21.6453 and 6.4515 Å and the angles 90.00°, 90.00° and 90.00°. Symmetry generates all atoms from Pr at (0.0000, 0.0621, 0.0000), Pr at (0.0000, 0.2099, 0.7538), Pr at (0.0000, 0.2134, 0.2372), Pr at (0.0000, 0.3788, 0.9906), Ag at (0.0000, 0.0776, 0.4983) and Ge at (0.0000, 0.3428, 0.4964).

=====

Record 7
A plane-wave DFT calculation with PBE-GGA was carried out for a relaxed DyHoMgAg crystal.

The calculation puts the energy relative to the lowest polymorph listed for this composition at 43 meV/atom. Its calculated total energy is -3.552 eV per atom. The formation energy is -0.145 eV per atom.

The structure belongs to space group F-43m (No. 216); the cell edges are 7.3977, 7.3977 and 7.3977 Å and the angles 90.00°, 90.00° and 90.00°. Symmetry generates all atoms from Dy at (0.0000, 0.0000, 0.0000), Ho at (0.0000, 0.0000, 0.5000), Mg at (0.2500, 0.2500, 0.7500) and Ag at (0.2500, 0.2500, 0.2500).

=====

Record 8
A plane-wave DFT calculation with PBE-GGA was carried out for a relaxed CdGaB crystal.

Its calculated total energy is -3.270 eV per atom. The formation energy is 0.270 eV per atom.

The structure belongs to space group P1 (No. 1); the cell edges are 3.1290, 5.6427 and 5.8497 Å and the angles 89.31°, 85.16° and 88.41°. Symmetry generates all atoms from Cd at (0.0000, 0.0000, 0.0000), Cd at (0.4730, 0.4552, 0.1509), Ga at (0.4830, 0.8885, 0.4511), Ga at (0.9504, 0.2807, 0.5440), B at (0.3340, 0.6453, 0.7596) and B at (0.8352, 0.5999, 0.7631).